Record 1
CoCuPd2 | PBE | relaxed

As for the crystal system: trigonal. The calculation puts the formation energy at 0.03 eV per atom.

It has space group R3m (No. 160, hexagonal axes), with a = 2.7232 Å, b = 2.7232 Å, c = 25.6670 Å, α = 90.00°, β = 90.00° and γ = 120.00°. The distinct sites, in fractional coordinates, are Co at (0.0000, 0.0000, 0.0000), Cu at (0.0000, 0.0000, 0.1667), Pd at (0.0000, 0.0000, 0.4154) and Pd at (0.0000, 0.0000, 0.5845).

***

Record 2
Pm2InO | PBE | relaxed

For the energy relative to the elements, uncorrected, the calculation gives -598 kJ/mol of formula units. As for the crystal system: trigonal. For the excess energy over the best structure of this formula in the dataset, the calculation gives 42 meV/atom.

It has space group R-3m (No. 166, hexagonal axes), with a = 3.6810 Å, b = 3.6810 Å, c = 23.5999 Å, α = 90.00°, β = 90.00° and γ = 120.00°. The distinct sites, in fractional coordinates, are Pm at (0.0000, 0.0000, 0.2240), In at (0.0000, 0.0000, 0.0000) and O at (0.0000, 0.0000, 0.5000).

***

Record 3
Mn5I12Br3 | PBE | relaxed

For the energy relative to the elements, uncorrected, the calculation gives -236 kJ/mol of formula units. As for the crystal system: cubic.

It has space group Ia-3d (No. 230), with a = 18.348 Å, b = 18.348 Å, c = 18.348 Å, α = 90.00°, β = 90.00° and γ = 90.00°. The distinct sites, in fractional coordinates, are Mn at (0.000, 0.000, 0.000), Mn at (0.000, 0.250, 0.375), I at (0.029, 0.040, 0.649) and Br at (0.000, 0.250, 0.125).

***

Record 4
HfZrFe2 | PBE | relaxed

As for the crystal system: tetragonal. The calculation puts the formation energy at 0.36 eV per atom.

It has space group I-42d (No. 122), with a = 6.863 Å, b = 6.863 Å, c = 5.710 Å, α = 90.00°, β = 90.00° and γ = 90.00°. The distinct sites, in fractional coordinates, are Hf at (0.000, 0.000, 0.000), Zr at (0.000, 0.000, 0.500) and Fe at (0.249, 0.250, 0.125).

***

Record 5
AcDy3Hg2 | PBE | relaxed

As for the crystal system: monoclinic. The calculation puts the formation energy at -0.26 eV per atom. For the excess energy over the best structure of this formula in the dataset, the calculation gives 44 meV/atom.

It has space group C2/m (No. 12), with a = 16.781 Å, b = 5.407 Å, c = 8.981 Å, α = 90.00°, β = 115.71° and γ = 90.00°. The distinct sites, in fractional coordinates, are Ac at (0.131, 0.000, 0.188), Dy at (0.066, 0.000, 0.721), Dy at (0.116, 0.500, 0.519), Dy at (0.197, 0.500, 0.996), Hg at (0.002, 0.500, 0.838) and Hg at (0.222, 0.000, 0.614).

***

Record 6
TcHg2P | PBE | relaxed

As for the crystal system: tetragonal. The calculation puts the formation energy at 0.70 eV per atom.

It has space group I4/mmm (No. 139), with a = 3.861 Å, b = 3.861 Å, c = 9.779 Å, α = 90.00°, β = 90.00° and γ = 90.00°. The distinct sites, in fractional coordinates, are Tc at (0.000, 0.000, 0.000), Hg at (0.000, 0.500, 0.250) and P at (0.000, 0.000, 0.500).

***

Record 7
NdHo6Er3Th2 | PBE | relaxed

As for the crystal system: monoclinic. The calculation puts the formation energy at 0.03 eV per atom.

It has space group C2/m (No. 12), with a = 6.157 Å, b = 10.651 Å, c = 11.698 Å, α = 90.00°, β = 100.12° and γ = 90.00°. The distinct sites, in fractional coordinates, are Nd at (0.000, 0.000, 0.000), Ho at (0.246, 0.500, 0.250), Ho at (0.247, 0.331, 0.750), Er at (0.000, 0.166, 0.500), Er at (0.000, 0.500, 0.500) and Th at (0.000, 0.333, 0.000).

***

Record 8
YPuGaCo | PBE | relaxed

As for the crystal system: cubic. The calculation puts the formation energy at -0.16 eV per atom.

It has space group F-43m (No. 216), with a = 6.955 Å, b = 6.955 Å, c = 6.955 Å, α = 90.00°, β = 90.00° and γ = 90.00°. The distinct sites, in fractional coordinates, are Y at (0.000, 0.000, 0.000), Pu at (0.000, 0.000, 0.500), Ga at (0.250, 0.250, 0.250) and Co at (0.250, 0.250, 0.750).

***

Number 1: total magnetic moment 7.321 μB per cell. Number 2: total magnetic moment 0.000 μB per cell. Number 3: total magnetic moment 159.322 μB per cell. Number 4: total magnetic moment 5.105 μB per cell. Number 5: total magnetic moment 0.005 μB per cell. Number 6: total magnetic moment 1.592 μB per cell. Number 7: total magnetic moment 0.000 μB per cell. Number 8: total magnetic moment 16.943 μB per cell.